The following is a DFT calculation (PBE+U) of Fe5O8F2 after structural relaxation.

## Properties
Energy relative to the lowest polymorph listed for this composition ... 0.33 eV/f.u.
Raw total energy ... -6.10 eV per atom

Cell lengths 7.631, 4.621, 10.190 Å; angles 90.00, 115.56, 90.00 degrees
Space group P2_1/c (No. 14)
Inequivalent atoms, fractional coordinates:
Fe: 0.000 0.000 0.000 [2 per cell]
Fe: 0.204 0.019 0.811 [4 per cell]
Fe: 0.413 0.014 0.604 [4 per cell]
O: 0.016 0.183 0.174 [4 per cell]
O: 0.210 0.204 0.986 [4 per cell]
O: 0.379 0.700 0.927 [4 per cell]
O: 0.417 0.196 0.779 [4 per cell]
F: 0.187 0.694 0.129 [4 per cell]